## AlTeP3 (GGA-PBEsol)

Data for AlTeP3 after structural relaxation.

Unit cell a=4.988 b=4.988 c=4.988 alpha=90.00 beta=90.00 gamma=90.00
Fractional coordinates of all 5 atoms:
Al  0.000  0.000  0.000
Te  0.500  0.500  0.500
P  0.000  0.500  0.500
P  0.500  0.000  0.500
P  0.500  0.500  0.000

Summary:
For the formation energy from raw total energies, the calculation gives 1.280 eV/atom. As for the space-group type: Pm-3m, No. 221. The value obtained for the density of states at the Fermi level is 0.80 states/eV per atom. The calculated density is 3.31 g/cm3.